! LiBiSb2Te GGA-PBE relaxed; values from VASP
&SYSTEM
  ibrav = 0, nat = 5, ntyp = 4
/
ATOMIC_SPECIES
Li 6.94 Li.upf
Bi 208.98 Bi.upf
Te 127.60 Te.upf
Sb 121.76 Sb.upf
CELL_PARAMETERS angstrom
-2.4768 3.0905 3.1032
-4.1160 -2.8608 -0.4361
1.5853 -2.9164 4.1697
ATOMIC_POSITIONS crystal
Li 0.0000 0.0000 0.0000
Bi 0.5000 0.5000 0.5000
Te 0.0000 0.0000 0.5000
Sb 0.5000 0.0000 0.0000
Sb 0.0000 0.5000 0.0000
! * Fermi-level density of states: 3.43 states/eV per cell
! * calculated volume: 134.9 Å³/f.u.
! * size of the total moment: 0.00 μB/atom
! * energy relative to the elements, uncorrected: 0.25 eV/atom



! LiCaFe4 GGA-PBE relaxed; values from VASP
&SYSTEM
  ibrav = 0, nat = 6, ntyp = 3
/
ATOMIC_SPECIES
Fe 55.84 Fe.upf
Ca 40.08 Ca.upf
Li 6.94 Li.upf
CELL_PARAMETERS angstrom
-1.3497 -2.6381 4.0604
-4.0555 1.3543 2.6434
-4.1411 -2.8473 -0.1149
ATOMIC_POSITIONS crystal
Fe 0.3750 0.3750 0.3750
Fe 0.3750 0.8750 0.3750
Ca 0.0000 0.0000 0.0000
Fe 0.3750 0.3750 0.8750
Fe 0.8750 0.3750 0.3750
Li 0.7500 0.7500 0.7500
! * Fermi-level density of states: 6.81 states/eV per cell
! * calculated volume: 89.8 Å³/f.u.
! * size of the total moment: 1.46 μB/atom
! * E_form: 281 meV/atom



! BrClF2 GGA-PBE relaxed; values from VASP
&SYSTEM
  ibrav = 0, nat = 16, ntyp = 3
/
ATOMIC_SPECIES
Br 79.90 Br.upf
Cl 35.45 Cl.upf
F 19.00 F.upf
CELL_PARAMETERS angstrom
4.5735 0.0000 -0.0193
0.0000 4.6496 0.0000
0.0554 0.0000 18.1245
ATOMIC_POSITIONS crystal
Br 0.1081 0.0770 0.5882
Cl 0.0239 0.0793 0.3037
Cl 0.9761 0.9207 0.6963
F 0.6108 0.6687 0.3751
F 0.6841 0.3153 0.9606
Br 0.6081 0.4230 0.0882
Br 0.3919 0.5770 0.9118
Br 0.8919 0.9230 0.4118
F 0.1108 0.8313 0.8751
F 0.3159 0.6847 0.0394
F 0.8892 0.1687 0.1249
F 0.1841 0.1847 0.4606
Cl 0.4761 0.5793 0.1963
F 0.8159 0.8153 0.5394
F 0.3892 0.3313 0.6249
Cl 0.5239 0.4207 0.8037
! * Fermi-level density of states: 0.00 states/eV per cell
! * calculated volume: 96.4 Å³/f.u.
! * size of the total moment: 0.00 μB/atom
! * energy relative to the elements, uncorrected: -0.59 eV/atom



! IrPb2Se GGA-PBE relaxed; values from VASP
&SYSTEM
  ibrav = 0, nat = 4, ntyp = 3
/
ATOMIC_SPECIES
Pb 207.20 Pb.upf
Se 78.96 Se.upf
Ir 192.22 Ir.upf
CELL_PARAMETERS angstrom
-4.0736 0.8896 0.3469
0.2670 -0.7896 5.1610
1.1548 4.1129 3.0137
ATOMIC_POSITIONS crystal
Pb 0.0000 0.9399 0.9399
Pb 0.5000 0.2501 0.2501
Se 0.0000 0.5732 0.5732
Ir 0.5000 0.7367 0.7367
! * Fermi-level density of states: 1.71 states/eV per cell
! * calculated volume: 101.4 Å³/f.u.
! * size of the total moment: 0.00 μB/atom
! * energy relative to the elements, uncorrected: 0.04 eV/atom



! Nd4MgRh4O12 GGA-PBE relaxed; values from VASP
&SYSTEM
  ibrav = 0, nat = 21, ntyp = 4
/
ATOMIC_SPECIES
Nd 144.24 Nd.upf
O 16.00 O.upf
Mg 24.30 Mg.upf
Rh 102.91 Rh.upf
CELL_PARAMETERS angstrom
-1.3492 4.7545 -5.7105
-4.1952 -3.9866 -2.3281
-5.7842 1.4079 2.5388
ATOMIC_POSITIONS crystal
Nd 0.0000 0.4509 0.5618
Nd 0.0000 0.9504 0.0850
O 0.1904 0.6395 0.2779
O 0.5000 0.5952 0.0795
Nd 0.5000 0.5541 0.4583
O 0.8096 0.6395 0.2779
O 0.2009 0.8524 0.8277
O 0.2807 0.1603 0.1761
Mg 0.5000 0.3032 0.0220
O 0.0000 0.3973 0.9475
Rh 0.2268 0.5129 0.0106
O 0.3136 0.3750 0.7603
Rh 0.7732 0.5129 0.0106
O 0.7193 0.1603 0.1761
Rh 0.7601 0.0050 0.4959
O 0.6864 0.3750 0.7603
Nd 0.5000 0.9581 0.8498
Rh 0.2399 0.0050 0.4959
O 0.5000 0.8877 0.5280
O 0.0000 0.1256 0.4648
O 0.7991 0.8524 0.8277
! * Fermi-level density of states: 11.99 states/eV per cell
! * calculated volume: 289.3 Å³/f.u.
! * size of the total moment: 0.09 μB/atom
! * energy relative to the elements, uncorrected: -1.87 eV/atom



! AlGaHg GGA-PBE relaxed; values from VASP
&SYSTEM
  ibrav = 0, nat = 12, ntyp = 3
/
ATOMIC_SPECIES
Ga 69.72 Ga.upf
Hg 200.59 Hg.upf
Al 26.98 Al.upf
CELL_PARAMETERS angstrom
-4.6754 4.0378 -3.9853
-3.2197 -2.9448 0.7938
-2.0131 3.9038 6.3169
ATOMIC_POSITIONS crystal
Ga 0.2666 0.7500 0.8444
Hg 0.9820 0.2500 0.8499
Ga 0.7334 0.2500 0.1556
Al 0.3794 0.2500 0.0318
Ga 0.2334 0.2500 0.3444
Al 0.8794 0.2500 0.4682
Al 0.6206 0.7500 0.9682
Ga 0.7666 0.7500 0.6556
Hg 0.4820 0.2500 0.6501
Hg 0.5180 0.7500 0.3499
Al 0.1206 0.7500 0.5318
Hg 0.0180 0.7500 0.1501
! * Fermi-level density of states: 3.73 states/eV per cell
! * calculated volume: 62.7 Å³/f.u.
! * size of the total moment: 0.00 μB/atom
! * E_form: 103 meV/atom



! LaYIr2 GGA-PBE relaxed; values from VASP
&SYSTEM
  ibrav = 0, nat = 4, ntyp = 3
/
ATOMIC_SPECIES
Ir 192.22 Ir.upf
Y 88.91 Y.upf
La 138.91 La.upf
CELL_PARAMETERS angstrom
4.1292 0.0119 -0.0086
2.0563 3.5808 -0.0086
2.0705 1.2026 6.5863
ATOMIC_POSITIONS crystal
Ir 0.9956 0.9956 0.0127
Y 0.2500 0.2500 0.2500
Ir 0.5044 0.5044 0.4873
La 0.7500 0.7500 0.7500
! * Fermi-level density of states: 0.57 states/eV per cell
! * calculated volume: 97.3 Å³/f.u.
! * size of the total moment: 0.00 μB/atom
! * E_form: -441 meV/atom



! ZrTaB2 GGA-PBE relaxed; values from VASP
&SYSTEM
  ibrav = 0, nat = 4, ntyp = 3
/
ATOMIC_SPECIES
Ta 180.95 Ta.upf
Zr 91.22 Zr.upf
B 10.81 B.upf
CELL_PARAMETERS angstrom
3.4059 0.0000 -0.0242
0.0000 3.1866 0.0000
-1.6746 0.0000 4.6043
ATOMIC_POSITIONS crystal
Ta 0.4435 0.5000 0.4286
Zr 0.7327 0.0000 0.0019
B 0.1307 0.5000 0.7999
B 0.0241 0.0000 0.5876
! * Fermi-level density of states: 1.39 states/eV per cell
! * calculated volume: 49.8 Å³/f.u.
! * size of the total moment: 0.00 μB/atom
! * E_form: -728 meV/atom



! CoHIr2Rh GGA-PBE relaxed; values from VASP
&SYSTEM
  ibrav = 0, nat = 5, ntyp = 4
/
ATOMIC_SPECIES
Ir 192.22 Ir.upf
H 1.01 H.upf
Co 58.93 Co.upf
Rh 102.91 Rh.upf
CELL_PARAMETERS angstrom
3.8753 0.0000 0.0000
0.0000 3.8753 0.0000
0.0000 0.0000 3.8662
ATOMIC_POSITIONS crystal
Ir 0.5000 0.0000 0.0000
Ir 0.0000 0.5000 0.0000
H 0.0000 0.0000 0.0000
Co 0.5000 0.5000 0.5000
Rh 0.0000 0.0000 0.5000
! * raw total energy: -6.9513 eV per atom
! * Fermi-level density of states: 5.23 states/eV per cell
! * calculated volume: 58.1 Å³/f.u.
! * size of the total moment: 0.58 μB/atom



! ZnSi2PbO6 GGA-PBE relaxed; values from VASP
&SYSTEM
  ibrav = 0, nat = 20, ntyp = 4
/
ATOMIC_SPECIES
Si 28.09 Si.upf
O 16.00 O.upf
Zn 65.41 Zn.upf
Pb 207.20 Pb.upf
CELL_PARAMETERS angstrom
-2.4628 4.9944 -0.1014
-7.1535 -1.5204 1.1470
0.7023 2.4711 6.9426
ATOMIC_POSITIONS crystal
Si 0.1778 0.3804 0.2207
O 0.2142 0.9754 0.7521
O 0.2858 0.2479 0.0246
Si 0.8222 0.6196 0.7793
O 0.7142 0.7521 0.9754
O 0.0838 0.6746 0.6578
Zn 0.2500 0.2457 0.7543
O 0.5946 0.1957 0.6037
O 0.7858 0.0246 0.2479
Pb 0.7500 0.1198 0.8802
Si 0.6778 0.2207 0.3804
O 0.9054 0.3963 0.8043
O 0.0946 0.6037 0.1957
O 0.4162 0.3422 0.3254
Si 0.3222 0.7793 0.6196
O 0.9162 0.3254 0.3422
Zn 0.7500 0.7543 0.2457
Pb 0.2500 0.8802 0.1198
O 0.5838 0.6578 0.6746
O 0.4054 0.8043 0.3963
! * Fermi-level density of states: 0.00 states/eV per cell
! * calculated volume: 143.4 Å³/f.u.
! * size of the total moment: 0.00 μB/atom
! * energy relative to the elements, uncorrected: -2.15 eV/atom



! La5Nd3 GGA-PBE relaxed; values from VASP
&SYSTEM
  ibrav = 0, nat = 16, ntyp = 2
/
ATOMIC_SPECIES
La 138.91 La.upf
Nd 144.24 Nd.upf
CELL_PARAMETERS angstrom
-3.6052 -0.8603 9.8764
-2.4183 -6.8336 -1.4780
6.5184 -2.7695 2.1382
ATOMIC_POSITIONS crystal
La 0.5000 0.5008 0.4992
La 0.7489 0.7498 0.7499
La 0.2511 0.2501 0.2502
La 0.0000 0.0008 0.5005
La 0.7506 0.7500 0.2500
La 0.2494 0.7500 0.2500
La 0.7489 0.2501 0.2502
La 0.2511 0.7498 0.7499
La 0.0000 0.4995 0.9992
Nd 0.5000 0.9997 0.0003
Nd 0.5000 0.4994 0.9997
Nd 0.5000 0.0003 0.5006
Nd 0.0000 0.4985 0.5015
Nd 0.2530 0.2500 0.7500
La 0.0000 0.0014 0.9986
Nd 0.7470 0.2500 0.7500
! * Fermi-level density of states: 28.38 states/eV per cell
! * calculated volume: 288.7 Å³/f.u.
! * size of the total moment: 0.00 μB/atom
! * E_form: 10 meV/atom



! YHoEr2P4 GGA-PBE relaxed; values from VASP
&SYSTEM
  ibrav = 0, nat = 8, ntyp = 4
/
ATOMIC_SPECIES
P 30.97 P.upf
Y 88.91 Y.upf
Er 167.26 Er.upf
Ho 164.93 Ho.upf
CELL_PARAMETERS angstrom
-3.1825 2.1939 -0.9727
-0.9471 -3.8715 -5.6336
-3.4983 -2.7326 5.2829
ATOMIC_POSITIONS crystal
P 0.5000 0.7483 0.7475
Y 0.0000 0.0000 0.0000
P 0.0000 0.7498 0.2517
Er 0.5000 0.0000 0.5000
Ho 0.5000 0.5000 0.0000
Er 0.0000 0.5000 0.5000
P 0.5000 0.2517 0.2525
P 0.0000 0.2502 0.7483
! * Fermi-level density of states: 0.95 states/eV per cell
! * calculated volume: 179.0 Å³/f.u.
! * size of the total moment: 0.00 μB/atom
! * E_form: -1617 meV/atom